Material: PmPtPb2O8
Method: DFT, GGA-PBE
State: relaxed

Cell lengths 4.9895, 6.8898, 5.0148 Å; angles 90.00, 91.05, 90.00 degrees
Atoms (fractional coordinates):
Pm  0.0000  0.0000  0.0000
Pt  0.0000  0.5000  0.0000
Pb  0.5000  0.2556  0.5000
Pb  0.5000  0.7444  0.5000
O  0.2116  0.2816  0.1658
O  0.2116  0.7184  0.1658
O  0.2562  0.5000  0.6930
O  0.2905  0.0000  0.6552
O  0.7095  0.0000  0.3448
O  0.7438  0.5000  0.3070
O  0.7884  0.2816  0.8342
O  0.7884  0.7184  0.8342

Computed properties:
ΔE_f (raw): -113 kJ/mol of atoms
Raw total energy: -0.4407 Ry per atom
Symmetry: P2/m (10)